Material: LiYHo2In4
Method: DFT, PBE
State: relaxed Values from VASP.

The structure in Quantum ESPRESSO input format:
```
&SYSTEM
  ibrav = 0, nat = 8, ntyp = 4
/
ATOMIC_SPECIES
Li 6.94 Li.upf
Y 88.91 Y.upf
Ho 164.93 Ho.upf
In 114.82 In.upf
ATOMIC_POSITIONS angstrom
Li 0.0000 0.0000 0.0000
Y 0.0000 0.0000 12.9885
Ho 0.0000 0.0000 6.5860
Ho 0.0000 0.0000 19.3910
In 0.0000 0.0000 3.1823
In 0.0000 0.0000 9.6946
In 0.0000 0.0000 16.2823
In 0.0000 0.0000 22.7947
CELL_PARAMETERS angstrom
2.5959 1.4987 8.6590
-2.5959 1.4987 8.6590
0.0000 -2.9975 8.6590
```

E = -31.87 eV/cell
crystal system = trigonal
calculated density = 7.3 g cm⁻³


Material: Li2YHo2In2
Method: DFT, PBE
State: relaxed Values from VASP.

The structure in Quantum ESPRESSO input format:
```
&SYSTEM
  ibrav = 0, nat = 7, ntyp = 4
/
ATOMIC_SPECIES
Li 6.94 Li.upf
Y 88.91 Y.upf
Ho 164.93 Ho.upf
In 114.82 In.upf
ATOMIC_POSITIONS angstrom
Li 0.0000 0.0000 2.7217
Li 0.0000 0.0000 23.7474
Y 0.0000 0.0000 13.2346
Ho 0.0000 0.0000 9.8502
Ho 0.0000 0.0000 16.6189
In 0.0000 0.0000 6.3147
In 0.0000 0.0000 20.1545
CELL_PARAMETERS angstrom
2.4178 1.3959 8.8230
-2.4178 1.3959 8.8230
0.0000 -2.7919 8.8230
```

E = -26.54 eV/cell
crystal system = trigonal
calculated density = 6.2 g cm⁻³


Material: LiYHoIn
Method: DFT, PBE
State: relaxed Values from VASP.

The structure in Quantum ESPRESSO input format:
```
&SYSTEM
  ibrav = 0, nat = 4, ntyp = 4
/
ATOMIC_SPECIES
Li 6.94 Li.upf
Y 88.91 Y.upf
Ho 164.93 Ho.upf
In 114.82 In.upf
ATOMIC_POSITIONS angstrom
Li 0.0000 0.0000 0.0000
Y 5.5841 5.5841 5.5841
Ho 1.8614 1.8614 1.8614
In 3.7227 3.7227 3.7227
CELL_PARAMETERS angstrom
0.0000 3.7227 3.7227
3.7227 0.0000 3.7227
3.7227 3.7227 0.0000
```

E = -16.82 eV/cell
crystal system = cubic
calculated density = 6.0 g cm⁻³


Material: LiHoZnIn
Method: DFT, PBE
State: relaxed Values from VASP.

The structure in Quantum ESPRESSO input format:
```
&SYSTEM
  ibrav = 0, nat = 4, ntyp = 4
/
ATOMIC_SPECIES
Li 6.94 Li.upf
Ho 164.93 Ho.upf
Zn 65.41 Zn.upf
In 114.82 In.upf
ATOMIC_POSITIONS angstrom
Li 0.0000 0.0000 0.0000
Ho 1.6983 1.6983 1.6983
Zn 3.3966 3.3966 3.3966
In 5.0949 5.0949 5.0949
CELL_PARAMETERS angstrom
0.0000 3.3966 3.3966
3.3966 0.0000 3.3966
3.3966 3.3966 0.0000
```

E = -11.76 eV/cell
crystal system = cubic
calculated density = 7.5 g cm⁻³